CaY3Os at its PBEsol-relaxed geometry. Source: Alexandria, functional SCAN.

Calculated values
ΔE_f   1864 meV per atom
Calculated volume   125.8 Å³/cell
Electronic total energy   -31.15 eV/atom

```
data_CaY3Os
_space_group_name_H-M_alt 'P m -3 m'
_space_group_IT_number 221
_space_group_name_Hall '-P 4 2 3'
_cell_length_a 5.011
_cell_length_b 5.011
_cell_length_c 5.011
_cell_angle_alpha 90.00
_cell_angle_beta 90.00
_cell_angle_gamma 90.00
loop_
_atom_site_label
_atom_site_type_symbol
_atom_site_fract_x
_atom_site_fract_y
_atom_site_fract_z
_atom_site_occupancy
Ca1 Ca 0.000 0.000 0.000 1
Y1 Y 0.000 0.000 0.500 1
Os1 Os 0.500 0.500 0.500 1
```